No. 1
Here is an optimized crystal structure of La2Mg from Alexandria. Energies are from GGA-PBEsol.

The structure belongs to space group P-3m1 (No. 164); the cell edges are 3.5681, 3.5681 and 8.5630 Å and the angles 90.00°, 90.00° and 120.00°. The inequivalent atoms are La at (0.3333, 0.6667, 0.3286) and Mg at (0.0000, 0.0000, 0.0000).

The value obtained for the energy relative to the lowest polymorph listed for this composition is 65 meV/atom.

No. 2
Here is an optimized crystal structure of LaMg5 from Alexandria. Energies are from GGA-PBEsol.

The structure belongs to space group Cmmm (No. 65); the cell edges are 5.017, 12.114 and 4.997 Å and the angles 90.00°, 90.00° and 90.00°. The inequivalent atoms are La at (0.000, 0.000, 0.000), Mg at (0.000, 0.173, 0.500), Mg at (0.000, 0.321, 0.000) and Mg at (0.000, 0.500, 0.500).

No. 3
Here is an optimized crystal structure of LaMg12 from Alexandria. Energies are from GGA-PBEsol.

The structure belongs to space group I4/mmm (No. 139); the cell edges are 10.292, 10.292 and 5.844 Å and the angles 90.00°, 90.00° and 90.00°. The inequivalent atoms are La at (0.000, 0.000, 0.000), Mg at (0.000, 0.213, 0.500), Mg at (0.000, 0.352, 0.000) and Mg at (0.250, 0.250, 0.250).

No. 4
Here is an optimized crystal structure of LaMg3 from Alexandria. Energies are from GGA-PBEsol.

The structure belongs to space group R-3m (No. 166, hexagonal axes); the cell edges are 10.8747, 10.8747 and 3.1277 Å and the angles 90.00°, 90.00° and 120.00°. The inequivalent atoms are La at (0.0000, 0.0000, 0.0000) and Mg at (0.0000, 0.5000, 0.0000).

No. 5
Here is an optimized crystal structure of La2Mg from Alexandria. Energies are from GGA-PBEsol.

The structure belongs to space group Cmcm (No. 63); the cell edges are 3.718, 17.991 and 5.616 Å and the angles 90.00°, 90.00° and 90.00°. The inequivalent atoms are La at (0.000, 0.067, 0.250), La at (0.000, 0.388, 0.250) and Mg at (0.000, 0.271, 0.750).

The value obtained for the energy relative to the lowest polymorph listed for this composition is 74 meV/atom.

No. 6
Here is an optimized crystal structure of La2Mg from Alexandria. Energies are from GGA-PBEsol.

The structure belongs to space group Fd-3m (No. 227, origin choice 2); the cell edges are 14.571, 14.571 and 14.571 Å and the angles 90.00°, 90.00° and 90.00°. The inequivalent atoms are La at (0.000, 0.000, 0.000), La at (0.062, 0.375, 0.875) and Mg at (0.039, 0.039, 0.211).

The value obtained for the energy relative to the lowest polymorph listed for this composition is 79 meV/atom.

No. 7
Here is an optimized crystal structure of La7Mg from Alexandria. Energies are from GGA-PBEsol.

The structure belongs to space group Fm-3m (No. 225); the cell edges are 10.120, 10.120 and 10.120 Å and the angles 90.00°, 90.00° and 90.00°. The inequivalent atoms are La at (0.000, 0.000, 0.000), La at (0.000, 0.250, 0.250) and Mg at (0.000, 0.000, 0.500).

No. 8
Here is an optimized crystal structure of LaMg from Alexandria. Energies are from GGA-PBEsol.

The structure belongs to space group Cmcm (No. 63); the cell edges are 3.428, 13.178 and 5.196 Å and the angles 90.00°, 90.00° and 90.00°. The inequivalent atoms are La at (0.000, 0.173, 0.250) and Mg at (0.000, 0.439, 0.250).

The value obtained for the energy relative to the lowest polymorph listed for this composition is 41 meV/atom.

Number 1: E_form 28 meV/atom, VASP energy -4.1089 eV/atom. Number 2: E_form -34 meV/atom, VASP energy -2.3563 eV/atom. Number 3: E_form -53 meV/atom, VASP energy -2.0496 eV/atom. Number 4: E_form 54 meV/atom, VASP energy -2.5705 eV/atom. Number 5: E_form 37 meV/atom, VASP energy -4.0996 eV/atom. Number 6: E_form 42 meV/atom, VASP energy -4.0944 eV/atom. Number 7: E_form -32 meV/atom, VASP energy -4.9251 eV/atom. Number 8: E_form -55 meV/atom, VASP energy -3.5864 eV/atom.